Here is a geometry-optimized Pr2HfSbN5 structure from the Alexandria database. Energies are from PBE-GGA.

## Properties
Its space group is Cmc2_1.

a = 3.4129 Å, b = 7.1735 Å, c = 10.8582 Å
α = 90.00°, β = 90.00°, γ = 103.76°
With the nearest neighbours (Å) after each atom.
Positions (direct):
1 Hf 0.7767 0.5533 0.5103  5 N 2.08-2.27
2 Hf 0.2233 0.4467 0.0103  5 N 2.08-2.27
3 N 0.3725 0.7450 0.0008  1 Hf 2.08, 1 Sb 2.15
4 N 0.9432 0.8865 0.5579  2 Sb 2.06
5 N 0.2808 0.5615 0.6452  2 Hf 2.25, 1 Pr 2.42
6 N 0.4919 0.9839 0.7804  1 Sb 2.01
7 N 0.6838 0.3677 0.8827  2 Hf 2.27, 1 Sb 2.39
8 N 0.7192 0.4385 0.1452  2 Hf 2.25, 1 Pr 2.42
9 N 0.6275 0.2550 0.5008  1 Hf 2.08, 1 Sb 2.15
10 N 0.0568 0.1135 0.0579  2 Sb 2.06
11 N 0.5081 0.0161 0.2804  1 Sb 2.01
12 N 0.3162 0.6323 0.3827  2 Hf 2.27, 1 Sb 2.39
13 Pr 0.1120 0.2241 0.6980  3 N 2.42-2.55
14 Pr 0.8880 0.7759 0.1980  3 N 2.42-2.55
15 Pr 0.1433 0.2867 0.2874  6 N 2.53-2.77
16 Pr 0.8567 0.7133 0.7874  6 N 2.53-2.77
17 Sb 0.4763 0.9525 0.4612  4 N 2.01-2.15
18 Sb 0.5237 0.0475 0.9612  4 N 2.01-2.15


Here is a geometry-optimized PrHf2ScN4 structure from the Alexandria database. Energies are from PBE-GGA.

## Properties
Its space group is Imma. Its density of states at the Fermi level is 0.369 states/eV per atom.

a = 6.6578 Å, b = 6.6578 Å, c = 6.5985 Å
α = 119.71°, β = 119.71°, γ = 90.03°
With the nearest neighbours (Å) after each atom.
Positions (direct):
1 Hf 0.5000 0.5000 0.0000  6 N 2.32
2 Hf 0.5000 0.0000 0.0000  6 N 2.22-2.23
3 Hf 0.5000 0.0000 0.5000  6 N 2.22-2.23
4 Hf 0.0000 0.0000 0.5000  6 N 2.32
5 N 0.7365 0.7635 0.0072  3 Hf 2.23-2.32, 2 Sc 2.39, 1 Pr 2.48
6 N 0.2736 0.7830 0.5283  3 Hf 2.22-2.32, 1 Sc 2.41
7 N 0.7170 0.2264 0.9717  3 Hf 2.22-2.32, 1 Sc 2.41
8 N 0.7264 0.2170 0.4717  3 Hf 2.22-2.32, 1 Sc 2.41
9 N 0.2635 0.2365 0.5072  3 Hf 2.23-2.32, 2 Sc 2.39, 1 Pr 2.48
10 N 0.2830 0.7736 0.0283  3 Hf 2.22-2.32, 1 Sc 2.41
11 N 0.2635 0.2365 0.9928  3 Hf 2.23-2.32, 2 Sc 2.39, 1 Pr 2.48
12 N 0.7365 0.7635 0.4928  3 Hf 2.23-2.32, 2 Sc 2.39, 1 Pr 2.48
13 Pr 0.0000 0.5000 0.5000  6 N 2.48-2.49
14 Pr 0.0000 0.5000 0.0000  6 N 2.48-2.49
15 Sc 0.5000 0.5000 0.5000  6 N 2.39-2.41
16 Sc 0.0000 0.0000 0.0000  6 N 2.39-2.41


Here is a geometry-optimized Pr2HfSe2N2 structure from the Alexandria database. Energies are from PBE-GGA.

## Properties
Its space group is I4/mmm.

a = 4.2605 Å, b = 4.2605 Å, c = 8.2413 Å
α = 104.98°, β = 104.98°, γ = 90.00°
With the nearest neighbours (Å) after each atom.
Positions (direct):
1 Hf 0.0000 0.0000 0.0000  4 N 2.13
2 Pr 0.3875 0.3875 0.7749  4 N 2.74
3 Pr 0.6125 0.6125 0.2251  4 N 2.74
4 N 0.0000 0.5000 0.0000  2 Hf 2.13
5 N 0.5000 0.0000 0.0000  2 Hf 2.13
6 Se 0.1791 0.1791 0.3582  1 Hf 2.75
7 Se 0.8209 0.8209 0.6418  1 Hf 2.75


Energy relative to the elements, uncorrected
In order: -7.9, -13.2, -12.0
Unit: eV per formula unit
E_tot
In order: -8.13, -9.69, -7.88
Unit: eV/atom